(1)
Computed, not measured: a relaxed BaLi5 crystal at the GGA-PBEsol level of DFT.

Unit cell a=3.733 b=6.185 c=7.648 alpha=106.65 beta=90.00 gamma=107.57
Positions (direct):
Ba 0.000 0.000 0.000
Li 0.668 0.337 0.388
Li 0.332 0.663 0.612
Li 0.311 0.622 0.205
Li 0.000 0.000 0.500
Li 0.689 0.378 0.795

Calculated values
Spin magnetization = 0.00 Bohr magnetons per cell
Space-group type = C2/m, No. 12
Energy of formation = 0.0650 eV/atom
ΔE to the lowest computed polymorph = 42 meV/atom


(2)
Computed, not measured: a relaxed Ba5Li crystal at the GGA-PBEsol level of DFT.

Unit cell a=4.331 b=4.331 c=16.877 alpha=90.00 beta=90.00 gamma=90.00
Positions (direct):
Ba 0.000 0.000 0.876
Ba 0.000 0.000 0.124
Ba 0.500 0.500 0.687
Ba 0.500 0.500 0.313
Ba 0.000 0.000 0.500
Li 0.500 0.500 0.000

Calculated values
Spin magnetization = 0.00 Bohr magnetons per cell
Space-group type = P4/mmm, No. 123
Energy of formation = 0.0270 eV/atom
ΔE to the lowest computed polymorph = 0 meV/atom


(3)
Computed, not measured: a relaxed Ba5Li4 crystal at the GGA-PBEsol level of DFT.

Unit cell a=7.706 b=10.903 c=10.903 alpha=120.00 beta=90.00 gamma=90.00
Positions (direct):
Ba 0.750 0.000 0.718
Ba 0.750 0.718 0.000
Ba 0.750 0.282 0.282
Ba 0.250 0.000 0.282
Ba 0.250 0.282 0.000
Ba 0.250 0.718 0.718
Ba 0.000 0.333 0.667
Ba 0.500 0.667 0.333
Ba 0.000 0.667 0.333
Ba 0.500 0.333 0.667
Li 0.000 0.000 0.000
Li 0.500 0.000 0.000
Li 0.750 0.000 0.382
Li 0.750 0.382 0.000
Li 0.750 0.618 0.618
Li 0.250 0.000 0.618
Li 0.250 0.618 0.000
Li 0.250 0.382 0.382

Calculated values
Spin magnetization = 0.00 Bohr magnetons per cell
Space-group type = P6_3/mcm, No. 193
Energy of formation = 0.0779 eV/atom


(4)
Computed, not measured: a relaxed BaLi crystal at the GGA-PBEsol level of DFT.

Unit cell a=4.151 b=4.151 c=5.676 alpha=90.00 beta=90.00 gamma=120.00
Positions (direct):
Ba 0.000 0.000 0.000
Li 0.667 0.333 0.500

Calculated values
Spin magnetization = 0.00 Bohr magnetons per cell
Space-group type = P-6m2, No. 187
Energy of formation = 0.1634 eV/atom
ΔE to the lowest computed polymorph = 125 meV/atom